[1]
# KCe2SmS4 | the Alexandria database | PBE | optimized geometry
# * raw formation energy: -1853 meV/atom
data_KCe2SmS4
_chemical_formula_sum 'K1 Ce2 Sm1 S4'
_cell_length_a 7.149
_cell_length_b 4.078
_cell_length_c 7.171
_cell_angle_alpha 90.00
_cell_angle_beta 108.97
_cell_angle_gamma 90.00
_space_group_name_H-M_alt 'P 1 2/m 1'
_space_group_IT_number 10
loop_
_space_group_symop_operation_xyz
'x,y,z'
'-x,-y,-z'
'-x,y,-z'
'x,-y,z'
loop_
_atom_site_label
_atom_site_fract_x
_atom_site_fract_y
_atom_site_fract_z
K1 0.000 0.000 0.000
Ce1 0.500 0.000 0.500
Ce2 0.500 0.500 0.000
Sm1 0.000 0.500 0.500
S1 0.253 0.000 0.741
S2 0.265 0.500 0.268

---

[2]
# KTa2Se | the Alexandria database | PBE | optimized geometry
# * raw formation energy: 740 meV/atom
data_KTa2Se
_chemical_formula_sum 'K2 Ta4 Se2'
_cell_length_a 3.098
_cell_length_b 6.382
_cell_length_c 10.603
_cell_angle_alpha 90.00
_cell_angle_beta 90.00
_cell_angle_gamma 90.00
_space_group_name_H-M_alt 'I m m 2'
_space_group_IT_number 44
loop_
_space_group_symop_operation_xyz
'x,y,z'
'-x,-y,z'
'-x,y,z'
'x,-y,z'
'x+1/2,y+1/2,z+1/2'
'-x+1/2,-y+1/2,z+1/2'
'-x+1/2,y+1/2,z+1/2'
'x+1/2,-y+1/2,z+1/2'
loop_
_atom_site_label
_atom_site_fract_x
_atom_site_fract_y
_atom_site_fract_z
K1 0.000 0.000 0.000
Ta1 0.000 0.000 0.466
Ta2 0.000 0.500 0.170
Se1 0.000 0.500 0.771

---

[3]
# CsCuSi2 | the Alexandria database | PBE | optimized geometry
# * distance to the lowest polymorph of the same formula: 370 meV/atom
# * raw formation energy: 384 meV/atom
data_CsCuSi2
_chemical_formula_sum 'Cs4 Cu4 Si8'
_cell_length_a 5.310
_cell_length_b 5.310
_cell_length_c 15.761
_cell_angle_alpha 90.00
_cell_angle_beta 90.00
_cell_angle_gamma 90.00
_space_group_name_H-M_alt 'I 41/a m d'
_space_group_IT_number 141
loop_
_space_group_symop_operation_xyz
'x,y,z'
'-x,-y,-z'
'-y+1/4,x+3/4,z+1/4'
'y+1/4,-x+3/4,-z+1/4'
'-x+1/2,-y,z+1/2'
'x+1/2,y,-z+1/2'
'y+1/4,-x+1/4,z+3/4'
'-y+1/4,x+1/4,-z+3/4'
'x,-y,-z'
'-x,y,z'
'-y+1/4,-x+1/4,-z+3/4'
'y+1/4,x+1/4,z+3/4'
'-x+1/2,y,-z+1/2'
'x+1/2,-y,z+1/2'
'y+1/4,x+3/4,-z+1/4'
'-y+1/4,-x+3/4,z+1/4'
'x+1/2,y+1/2,z+1/2'
'-x+1/2,-y+1/2,-z+1/2'
'-y+3/4,x+1/4,z+3/4'
'y+3/4,-x+1/4,-z+3/4'
'-x,-y+1/2,z'
'x,y+1/2,-z'
'y+3/4,-x+3/4,z+1/4'
'-y+3/4,x+3/4,-z+1/4'
'x+1/2,-y+1/2,-z+1/2'
'-x+1/2,y+1/2,z+1/2'
'-y+3/4,-x+3/4,-z+1/4'
'y+3/4,x+3/4,z+1/4'
'-x,y+1/2,-z'
'x,-y+1/2,z'
'y+3/4,x+1/4,-z+3/4'
'-y+3/4,-x+1/4,z+3/4'
loop_
_atom_site_label
_atom_site_fract_x
_atom_site_fract_y
_atom_site_fract_z
Cs1 0.000 0.250 0.375
Cu1 0.000 0.250 0.875
Si1 0.000 0.000 0.000

---

[4]
# Ca2TaSb | the Alexandria database | PBE | optimized geometry
# * raw formation energy: 225 meV/atom
data_Ca2TaSb
_chemical_formula_sum 'Ca2 Ta1 Sb1'
_cell_length_a 4.671
_cell_length_b 4.671
_cell_length_c 4.687
_cell_angle_alpha 90.00
_cell_angle_beta 90.00
_cell_angle_gamma 90.00
_space_group_name_H-M_alt 'P 4/m m m'
_space_group_IT_number 123
_space_group_name_Hall '-P 4 2'
loop_
_atom_site_label
_atom_site_fract_x
_atom_site_fract_y
_atom_site_fract_z
Ca1 0.000 0.500 0.000
Ta1 0.000 0.000 0.500
Sb1 0.500 0.500 0.500

---

[5]
# Pr4OsBr2Cl | the Alexandria database | PBE | optimized geometry
# * raw formation energy: -991 meV/atom
data_Pr4OsBr2Cl
_chemical_formula_sum 'Pr4 Os1 Br2 Cl1'
_cell_length_a 7.509
_cell_length_b 4.144
_cell_length_c 8.019
_cell_angle_alpha 90.00
_cell_angle_beta 107.52
_cell_angle_gamma 90.00
_space_group_name_H-M_alt 'P 1 2/m 1'
_space_group_IT_number 10
loop_
_space_group_symop_operation_xyz
'x,y,z'
'-x,-y,-z'
'-x,y,-z'
'x,-y,z'
loop_
_atom_site_label
_atom_site_fract_x
_atom_site_fract_y
_atom_site_fract_z
Pr1 0.209 0.000 0.204
Pr2 0.247 0.500 0.795
Os1 0.000 0.500 0.000
Br1 0.000 0.000 0.500
Br2 0.500 0.500 0.500
Cl1 0.500 0.000 0.000

---

Which of these has the highest raw formation energy?
KTa2Se

---

raw formation energy of number 2 (KTa2Se)?
740 meV/atom